{
  "formula": "Ac6Ru2PtI2",
  "functional": "PBE",
  "state": "optimized geometry",
  "lattice_angstrom": [[3.793, -6.550, 0.000], [3.793, 6.550, 0.000], [-2.618, 0.000, 8.761]],
  "species": ["Ac", "Ac", "Ac", "Ac", "Ac", "Ac", "Ru", "Ru", "Pt", "I", "I"],
  "frac_coords": [[0.093, 0.440, 0.818], [0.220, 0.220, 0.178], [0.440, 0.093, 0.818], [0.560, 0.907, 0.182], [0.780, 0.780, 0.822], [0.907, 0.560, 0.182], [0.170, 0.830, 0.000], [0.830, 0.170, 0.000], [0.500, 0.500, 0.000], [0.334, 0.666, 0.500], [0.666, 0.334, 0.500]],
  "sg": "No. 12",
  "formation_energy_uncorrected_ev_per_atom": -0.74,
  "total_energy_ev_per_atom": -5.50,
  "magnetic_moment_mub_per_fu": 0.000
}